No. 1
The following is a GGA-PBE calculation of an optimized crystal structure of ErPt, from the Alexandria database.

Size of the total moment   0.0 μB/cell
D(E_F)   1.17 states/eV/f.u.
ΔE_f   -1.152 eV per atom

a = 4.035 Å, b = 4.035 Å, c = 4.035 Å
α = 60.00°, β = 60.00°, γ = 60.00°
Sites, in units of the cell vectors:
1 Er 0.000 0.000 0.000
2 Pt 0.500 0.500 0.500

No. 2
The following is a GGA-PBE calculation of an optimized crystal structure of Er3Pt, from the Alexandria database.

Size of the total moment   0.0 μB/cell
D(E_F)   4.05 states/eV/f.u.
ΔE_f   -0.691 eV per atom

a = 11.510 Å, b = 11.510 Å, c = 6.301 Å
α = 90.00°, β = 90.00°, γ = 90.00°
Sites, in units of the cell vectors:
1 Er 0.038 0.595 0.208
2 Er 0.095 0.962 0.708
3 Er 0.114 0.193 0.026
4 Er 0.118 0.662 0.702
5 Er 0.162 0.882 0.202
6 Er 0.193 0.386 0.474
7 Er 0.307 0.114 0.474
8 Er 0.338 0.618 0.202
9 Er 0.382 0.838 0.702
10 Er 0.386 0.307 0.026
11 Er 0.405 0.538 0.708
12 Er 0.462 0.905 0.208
13 Er 0.538 0.095 0.792
14 Er 0.595 0.462 0.292
15 Er 0.614 0.693 0.974
16 Er 0.618 0.162 0.298
17 Er 0.662 0.382 0.798
18 Er 0.693 0.886 0.526
19 Er 0.807 0.614 0.526
20 Er 0.838 0.118 0.798
21 Er 0.882 0.338 0.298
22 Er 0.886 0.807 0.974
23 Er 0.905 0.038 0.292
24 Er 0.962 0.405 0.792
25 Pt 0.055 0.184 0.518
26 Pt 0.184 0.445 0.982
27 Pt 0.316 0.055 0.982
28 Pt 0.445 0.316 0.518
29 Pt 0.555 0.684 0.482
30 Pt 0.684 0.945 0.018
31 Pt 0.816 0.555 0.018
32 Pt 0.945 0.816 0.482

No. 3
The following is a GGA-PBE calculation of an optimized crystal structure of Er7Pt3, from the Alexandria database.

Size of the total moment   3.6 μB/cell
D(E_F)   13.50 states/eV/f.u.
ΔE_f   -0.864 eV per atom

a = 9.787 Å, b = 9.787 Å, c = 6.242 Å
α = 90.00°, β = 90.00°, γ = 120.00°
Sites, in units of the cell vectors:
1 Er 0.080 0.540 0.000
2 Er 0.127 0.253 0.310
3 Er 0.127 0.873 0.310
4 Er 0.253 0.127 0.810
5 Er 0.333 0.667 0.500
6 Er 0.460 0.540 0.000
7 Er 0.460 0.920 0.000
8 Er 0.540 0.080 0.500
9 Er 0.540 0.460 0.500
10 Er 0.667 0.333 0.000
11 Er 0.747 0.873 0.310
12 Er 0.873 0.127 0.810
13 Er 0.873 0.747 0.810
14 Er 0.920 0.460 0.500
15 Pt 0.190 0.380 0.737
16 Pt 0.190 0.810 0.737
17 Pt 0.380 0.190 0.237
18 Pt 0.620 0.810 0.737
19 Pt 0.810 0.190 0.237
20 Pt 0.810 0.620 0.237